{"formula": "Mg2OsCl", "functional": "PBE", "state": "optimized geometry", "lattice": [[0.000, 3.280, 3.280], [3.280, 0.000, 3.280], [3.280, 3.280, 0.000]], "species": ["Mg", "Mg", "Os", "Cl"], "frac_coords": [[0.000, 0.000, 0.000], [0.250, 0.250, 0.250], [0.500, 0.500, 0.500], [0.750, 0.750, 0.750]], "formation_energy_uncorrected_ev_per_atom": 0.66, "spacegroup": "F-43m"}